No. 1
DFT (PBE) results for BaSrW after structural relaxation.

```
BaSrW
1.0
5.6341 0.0000 0.0000
2.8171 4.8793 0.0000
2.8171 1.6264 4.6002
Ba Sr W
1 1 1
direct
0.0000 0.0000 0.0000
0.5000 0.5000 0.5000
0.7500 0.7500 0.7500
```

**Theoretical density**: 5368 kg/m³
**Space group**: No. 216
**E_form**: 1.51 eV per atom
**Total energy**: -4.0111 eV per atom
**N(E_F)**: 3.8 states/eV per cell
**Energy above the most stable polymorph in this dataset**: 258 meV/atom

---

No. 2
DFT (PBE) results for Ba2SrW after structural relaxation.

```
Ba2SrW
1.0
7.7142 -0.3927 0.4365
6.8818 3.5078 0.4365
2.2446 0.4791 5.8405
Ba Sr W
2 1 1
direct
0.9389 0.9389 0.0612
0.7499 0.7499 0.7501
0.5621 0.5621 0.4378
0.2491 0.2491 0.2509
```

**Theoretical density**: 5340 kg/m³
**Space group**: No. 44
**E_form**: 1.03 eV per atom
**Total energy**: -3.5888 eV per atom
**N(E_F)**: 3.9 states/eV per cell
**Energy above the most stable polymorph in this dataset**: 40 meV/atom

---

No. 3
DFT (PBE) results for BaSr3W after structural relaxation.

```
BaSr3W
1.0
5.9310 0.0000 0.0000
0.0000 5.9310 0.0000
0.0000 0.0000 5.9310
Sr Ba W
3 1 1
direct
0.0000 0.5000 0.0000
0.0000 0.0000 0.5000
0.5000 0.0000 0.0000
0.0000 0.0000 0.0000
0.5000 0.5000 0.5000
```

**Theoretical density**: 4648 kg/m³
**Space group**: No. 221
**E_form**: 2.21 eV per atom
**Total energy**: -1.7776 eV per atom
**N(E_F)**: 13.9 states/eV per cell
**Energy above the most stable polymorph in this dataset**: 1358 meV/atom

---

No. 4
DFT (PBE) results for Ba2SrW after structural relaxation.

```
Ba2SrW
1.0
-2.1361 2.0935 -9.7803
9.2408 -3.4132 -2.7489
2.2630 -3.8309 -6.6617
Sr Ba W
2 4 2
direct
0.5000 0.5000 0.0000
0.2500 0.7500 0.5000
0.7062 0.1250 0.2500
0.0438 0.6250 0.2500
0.3750 0.2938 0.7500
0.8750 0.9562 0.7500
0.0000 0.0000 0.0000
0.7500 0.2500 0.5000
```

**Theoretical density**: 5032 kg/m³
**Space group**: No. 122
**E_form**: 1.19 eV per atom
**Total energy**: -3.4297 eV per atom
**N(E_F)**: 9.0 states/eV per cell
**Energy above the most stable polymorph in this dataset**: 199 meV/atom

---

No. 5
DFT (PBE) results for BaSr3W after structural relaxation.

```
BaSr3W
1.0
-5.4229 0.5514 2.9033
-1.3658 -5.8481 -1.4406
2.6206 -1.9070 5.2571
Sr Ba W
3 1 1
direct
0.0000 0.5000 0.0000
0.0000 0.0000 0.5000
0.5000 0.0000 0.0000
0.5000 0.5000 0.5000
0.0000 0.0000 0.0000
```

**Theoretical density**: 4117 kg/m³
**Space group**: No. 221
**E_form**: 0.85 eV per atom
**Total energy**: -3.1361 eV per atom
**N(E_F)**: 4.6 states/eV per cell
**Energy above the most stable polymorph in this dataset**: 0 meV/atom

---

No. 6
DFT (PBE) results for Ba2SrW after structural relaxation.

```
Ba2SrW
1.0
-2.7032 -3.8414 -3.7471
1.4005 -5.8410 0.1600
-3.9649 -3.9830 2.1259
Ba Sr W
2 1 1
direct
0.0000 0.0000 0.0000
0.7500 0.7500 0.7500
0.5000 0.5000 0.5000
0.2500 0.2500 0.2500
```

**Theoretical density**: 5912 kg/m³
**Space group**: No. 216
**E_form**: 1.12 eV per atom
**Total energy**: -3.5039 eV per atom
**N(E_F)**: 4.8 states/eV per cell
**Energy above the most stable polymorph in this dataset**: 125 meV/atom

---

No. 7
DFT (PBE) results for Ba2SrW after structural relaxation.

```
Ba2SrW
1.0
2.4793 -4.3162 3.3971
-3.3941 -3.0723 3.9188
-1.3183 -5.7867 -1.0450
Sr Ba W
1 2 1
direct
0.0000 0.0000 0.0000
0.2500 0.2500 0.2500
0.7500 0.7500 0.7500
0.5000 0.5000 0.5000
```

**Theoretical density**: 5860 kg/m³
**Space group**: No. 225
**E_form**: 1.13 eV per atom
**Total energy**: -3.4932 eV per atom
**N(E_F)**: 6.7 states/eV per cell
**Energy above the most stable polymorph in this dataset**: 136 meV/atom

---

No. 8
DFT (PBE) results for BaSrW after structural relaxation.

```
BaSrW
1.0
-0.4664 1.2691 3.3877
-2.1495 -2.6630 -1.2619
5.7021 -6.0482 3.0507
Ba Sr W
1 1 1
direct
0.0000 0.0000 0.9427
0.6667 0.3333 0.3927
0.3333 0.6667 0.6647
```

**Theoretical density**: 6654 kg/m³
**Space group**: No. 156
**E_form**: 1.40 eV per atom
**Total energy**: -4.1189 eV per atom
**N(E_F)**: 3.7 states/eV per cell
**Energy above the most stable polymorph in this dataset**: 150 meV/atom

---

No. 9
DFT (PBE) results for BaSrW4 after structural relaxation.

```
BaSrW4
1.0
0.0000 4.0397 4.0397
4.0397 0.0000 4.0397
4.0397 4.0397 0.0000
Ba Sr W
1 1 4
direct
0.7500 0.7500 0.7500
0.0000 0.0000 0.0000
0.8758 0.3747 0.3747
0.3747 0.3747 0.8758
0.3747 0.8758 0.3747
0.3747 0.3747 0.3747
```

**Theoretical density**: 12095 kg/m³
**Space group**: No. 216
**E_form**: 1.03 eV per atom
**Total energy**: -8.2058 eV per atom
**N(E_F)**: 6.3 states/eV per cell

---

No. 10
DFT (PBE) results for BaSr2Y2 after structural relaxation.

```
BaSr2Y2
1.0
4.4878 0.0000 0.0000
0.0000 4.4878 0.0000
2.2439 2.2439 12.7205
Y Sr Ba
2 2 1
direct
0.7500 0.2500 0.5000
0.2500 0.7500 0.5000
0.3763 0.3763 0.2474
0.6237 0.6237 0.7526
0.0000 0.0000 0.0000
```

**Theoretical density**: 3178 kg/m³
**Space group**: No. 139
**E_form**: 0.33 eV per atom
**Total energy**: -3.3172 eV per atom
**N(E_F)**: 6.4 states/eV per cell
**Energy above the most stable polymorph in this dataset**: 70 meV/atom

---

No. 11
DFT (PBE) results for Ba2SrY after structural relaxation.

```
Ba2SrY
1.0
-3.7045 6.3961 -2.4500
-6.8767 -0.9278 -3.5335
4.1668 -1.0823 6.4886
Ba Sr Y
2 1 1
direct
0.0170 0.0170 0.0000
0.7470 0.2470 0.5000
0.4831 0.4831 0.0000
0.2528 0.7528 0.5000
```

**Theoretical density**: 3746 kg/m³
**Space group**: No. 44
**E_form**: 0.19 eV per atom
**Total energy**: -2.8093 eV per atom
**N(E_F)**: 4.9 states/eV per cell
**Energy above the most stable polymorph in this dataset**: 32 meV/atom

---

No. 12
DFT (PBE) results for Ba2SrY after structural relaxation.

```
Ba2SrY
1.0
-7.3433 2.1747 0.1353
1.7484 -6.0598 -4.3466
-1.5136 -2.8967 2.2515
Ba Sr Y
2 1 1
direct
0.0000 0.0000 0.0000
0.5000 0.5000 0.0000
0.5000 0.0000 0.5000
0.0000 0.5000 0.5000
```

**Theoretical density**: 3813 kg/m³
**Space group**: No. 12
**E_form**: 0.20 eV per atom
**Total energy**: -2.7959 eV per atom
**N(E_F)**: 3.8 states/eV per cell
**Energy above the most stable polymorph in this dataset**: 45 meV/atom

---

No. 13
DFT (PBE) results for Ba2SrY after structural relaxation.

```
Ba2SrY
1.0
3.9966 0.0020 0.0000
-1.3032 3.7782 0.0000
0.0000 0.0000 13.1222
Ba Sr Y
2 1 1
direct
0.0000 0.0000 0.9812
0.0000 0.0000 0.5188
0.5000 0.5000 0.2500
0.5000 0.5000 0.7500
```

**Theoretical density**: 3780 kg/m³
**Space group**: No. 65
**E_form**: 0.17 eV per atom
**Total energy**: -2.8284 eV per atom
**N(E_F)**: 4.6 states/eV per cell
**Energy above the most stable polymorph in this dataset**: 13 meV/atom

---

No. 14
DFT (PBE) results for Ba2SrY after structural relaxation.

```
Ba2SrY
1.0
3.6330 -4.4995 3.1110
-1.6939 -6.3392 -0.2597
3.6456 -4.2340 -3.4504
Y Sr Ba
1 1 2
direct
0.5000 0.5000 0.5000
0.0000 0.0000 0.0000
0.2500 0.2500 0.2500
0.7500 0.7500 0.7500
```

**Theoretical density**: 3742 kg/m³
**Space group**: No. 225
**E_form**: 0.21 eV per atom
**Total energy**: -2.7873 eV per atom
**N(E_F)**: 6.5 states/eV per cell
**Energy above the most stable polymorph in this dataset**: 54 meV/atom

---

No. 15
DFT (PBE) results for Ba3SrY after structural relaxation.

```
Ba3SrY
1.0
6.6894 0.0000 0.0000
0.0000 6.6894 0.0000
0.0000 0.0000 6.6894
Y Sr Ba
1 1 3
direct
0.0000 0.0000 0.0000
0.5000 0.5000 0.5000
0.0000 0.5000 0.0000
0.0000 0.0000 0.5000
0.5000 0.0000 0.0000
```

**Theoretical density**: 3265 kg/m³
**Space group**: No. 221
**E_form**: 0.48 eV per atom
**Total energy**: -2.3073 eV per atom
**N(E_F)**: 10.7 states/eV per cell
**Energy above the most stable polymorph in this dataset**: 0 meV/atom

---

No. 16
DFT (PBE) results for Ba2SrY after structural relaxation.

```
Ba2SrY
1.0
-0.1686 -3.5378 -2.6943
4.4392 0.0595 -0.3560
0.7373 -6.2430 8.1515
Ba Sr Y
2 1 1
direct
0.0000 0.0000 0.9681
0.0000 0.0000 0.5319
0.5000 0.5000 0.2500
0.5000 0.5000 0.7500
```

**Theoretical density**: 3672 kg/m³
**Space group**: No. 123
**E_form**: 0.16 eV per atom
**Total energy**: -2.8352 eV per atom
**N(E_F)**: 5.4 states/eV per cell
**Energy above the most stable polymorph in this dataset**: 6 meV/atom

---

No. 17
DFT (PBE) results for Ba2SrY after structural relaxation.

```
Ba2SrY
1.0
7.1631 -0.0010 0.0000
2.3637 6.7619 0.0000
-4.7634 -3.3804 4.1464
Ba Sr Y
2 1 1
direct
0.0000 0.0000 0.0000
0.5000 0.5000 0.0000
0.2500 0.7500 0.5000
0.7500 0.2500 0.5000
```

**Theoretical density**: 3730 kg/m³
**Space group**: No. 139
**E_form**: 0.23 eV per atom
**Total energy**: -2.7689 eV per atom
**N(E_F)**: 8.3 states/eV per cell
**Energy above the most stable polymorph in this dataset**: 72 meV/atom

---

No. 18
DFT (PBE) results for BaSrY after structural relaxation.

```
BaSrY
1.0
-1.0823 4.2752 -9.2062
-4.1008 1.8253 -8.8721
-1.1264 3.6661 0.7179
Ba Sr Y
1 1 1
direct
0.0091 0.0091 0.9909
0.3224 0.3224 0.6776
0.6684 0.6684 0.3316
```

**Theoretical density**: 3772 kg/m³
**Space group**: No. 42
**E_form**: 0.20 eV per atom
**Total energy**: -3.1522 eV per atom
**N(E_F)**: 4.0 states/eV per cell
**Energy above the most stable polymorph in this dataset**: 0 meV/atom

---

No. 19
DFT (PBE) results for BaSr4Y after structural relaxation.

```
BaSr4Y
1.0
5.1348 -5.6667 0.1973
1.8651 -3.2408 6.6735
-2.2487 -7.1472 1.5419
Ba Sr Y
1 4 1
direct
0.0000 0.0000 0.0000
0.8715 0.3762 0.3762
0.3762 0.3762 0.8715
0.3762 0.8715 0.3762
0.3762 0.3762 0.3762
0.7500 0.7500 0.7500
```

**Theoretical density**: 3026 kg/m³
**Space group**: No. 216
**E_form**: 0.30 eV per atom
**Total energy**: -2.2235 eV per atom
**N(E_F)**: 10.5 states/eV per cell

---

No. 20
DFT (PBE) results for Ba2SrY after structural relaxation.

```
Ba2SrY
1.0
-3.2676 -3.8589 4.2220
0.0837 -4.8942 -4.4084
3.9948 -1.4899 1.7300
Ba Sr Y
2 1 1
direct
0.0000 0.0000 0.0000
0.5000 0.5000 0.0000
0.5000 0.0000 0.5000
0.0000 0.5000 0.5000
```

**Theoretical density**: 3752 kg/m³
**Space group**: No. 123
**E_form**: 0.21 eV per atom
**Total energy**: -2.7889 eV per atom
**N(E_F)**: 5.4 states/eV per cell
**Energy above the most stable polymorph in this dataset**: 52 meV/atom